(1)
# PBE-GGA PaSb3Au, relaxed
data_PaSb3Au
_chemical_formula_sum 'Pa8 Sb24 Au8'
_cell_length_a 12.163
_cell_length_b 14.636
_cell_length_c 6.223
_cell_angle_alpha 90.00
_cell_angle_beta 99.46
_cell_angle_gamma 90.00
_space_group_name_H-M_alt 'C 1 2/c 1'
_space_group_IT_number 15
_space_group_name_Hall '-C 2yc'
loop_
_atom_site_label
_atom_site_type_symbol
_atom_site_fract_x
_atom_site_fract_y
_atom_site_fract_z
Pa1 Pa 0.136 0.095 0.037
Sb1 Sb 0.124 0.118 0.530
Sb2 Sb 0.134 0.428 0.665
Sb3 Sb 0.159 0.306 0.115
Au1 Au 0.000 0.259 0.750
Au2 Au 0.000 0.423 0.250
# - ΔE_f (raw) (kJ per mole of atoms) = -16.0
# - volume (Å³/atom) = 27.32

(2)
# PBE-GGA CaNdTlRh, relaxed
data_CaNdTlRh
_chemical_formula_sum 'Ca1 Nd1 Tl1 Rh1'
_cell_length_a 3.494
_cell_length_b 3.494
_cell_length_c 8.423
_cell_angle_alpha 90.00
_cell_angle_beta 90.00
_cell_angle_gamma 90.00
_space_group_name_H-M_alt 'P 4 m m'
_space_group_IT_number 99
_space_group_name_Hall 'P 4 -2'
loop_
_atom_site_label
_atom_site_type_symbol
_atom_site_fract_x
_atom_site_fract_y
_atom_site_fract_z
Ca1 Ca 0.000 0.000 0.000
Nd1 Nd 0.000 0.000 0.586
Tl1 Tl 0.500 0.500 0.285
Rh1 Rh 0.500 0.500 0.780
# - distance to the lowest polymorph of the same formula (eV per atom) = 0.000
# - volume (Å³/atom) = 25.70